RbSrN2O | SCAN | PBEsol geometry

Cell lengths 5.0126, 5.0126, 4.6006 Å; angles 90.00, 90.00, 90.00 degrees
Closest atoms and distances in Å follow each position.
Sites, in units of the cell vectors:
Rb 0.0000 0.0000 0.0000  8 N 3.40, 4 O 3.54
Sr 0.5000 0.5000 0.5000  2 O 2.30, 4 N 2.51
N 0.0000 0.5000 0.5000  2 Sr 2.51
N 0.5000 0.0000 0.5000  2 Sr 2.51
O 0.5000 0.5000 0.0000  2 Sr 2.30

Summary:
raw formation energy: 399 meV per atom

=====

BeOs2 | SCAN | PBEsol geometry

Cell lengths 3.9914, 3.9914, 2.6884 Å; angles 90.00, 90.00, 120.00 degrees
Closest atoms and distances in Å follow each position.
Sites, in units of the cell vectors:
Be 0.0000 0.0000 0.0000  6 Os 2.40, 2 Be 2.69
Os 0.3333 0.6667 0.7492  3 Be 2.40, 8 Os 2.67-2.69
Os 0.6667 0.3333 0.2508  3 Be 2.40, 8 Os 2.67-2.69

Summary:
uncorrected energy: -49.322 eV per atom

=====

CoHg4Se | SCAN | PBEsol geometry

Cell lengths 5.6736, 5.6736, 5.6736 Å; angles 60.00, 60.00, 60.00 degrees
Closest atoms and distances in Å follow each position.
Sites, in units of the cell vectors:
Co 0.0000 0.0000 0.0000  12 Hg 3.33, 4 Se 3.47
Hg 0.3747 0.3747 0.3747  6 Hg 2.83-2.84
Hg 0.3747 0.3747 0.8758  6 Hg 2.83-2.84
Hg 0.3747 0.8758 0.3747  6 Hg 2.83-2.84
Hg 0.8758 0.3747 0.3747  6 Hg 2.83-2.84
Se 0.7500 0.7500 0.7500  12 Hg 3.33, 4 Co 3.47

Summary:
raw formation energy: 727 meV per atom

=====

Computed calculated density (Mg/m³) in order:
3.119, 17.436, 12.090